(1)
First-principles (PBE) data for crystalline NpU2PaC4 at its relaxed geometry, as listed in Alexandria.

a b c (Å): 3.5301 6.1312 6.0665
angles (deg): 109.88 90.00 90.00
Each line ends with the local moment (μB).
Fractional positions:
U  0.0000  0.5000  0.5000  0.20
U  0.5000  0.0000  0.5000  0.06
Pa  0.5000  0.5000  0.0000  0.02
Np  0.0000  0.0000  0.0000  3.06
C  0.0000  0.2440  0.7313  -0.02
C  0.0000  0.7560  0.2687  -0.02
C  0.5000  0.2579  0.2696  -0.05
C  0.5000  0.7421  0.7304  -0.05

Calculated values
Size of the total moment in μB per cell: 3.42
Raw total energy in eV/atom: -10.378
Energy of formation in meV per atom: -139


(2)
First-principles (PBE) data for crystalline Al2CrTe at its relaxed geometry, as listed in Alexandria.

a b c (Å): 7.7458 7.7458 6.1717
angles (deg): 51.13 51.13 90.00
Each line ends with the local moment (μB).
Fractional positions:
Cr  0.5000  0.5000  0.0000  3.65
Cr  0.2500  0.7500  0.5000  3.64
Al  0.1332  0.6250  0.2500  -0.01
Al  0.3750  0.3832  0.7500  -0.01
Al  0.8750  0.8668  0.7500  -0.01
Al  0.6168  0.1250  0.2500  -0.01
Te  0.7500  0.2500  0.5000  0.00
Te  0.0000  0.0000  0.0000  0.00

Calculated values
Size of the total moment in μB per cell: 8.33
Raw total energy in eV/atom: -4.724
Formation energy without anion corrections in eV per atom: 0.338


(3)
First-principles (PBE) data for crystalline Sr2SnN at its relaxed geometry, as listed in Alexandria.

a b c (Å): 3.6669 3.6669 9.0271
angles (deg): 90.00 90.00 119.90
Fractional positions:
N  0.1326  0.8674  0.5000
Sr  0.4661  0.5339  0.3362
Sr  0.4661  0.5339  0.6638
Sn  0.8013  0.1987  0.0000

Calculated values
Size of the total moment in μB per cell: 0.00
Raw total energy in eV/atom: -4.303
Formation energy without anion corrections in eV per atom: -0.380


(4)
First-principles (PBE) data for crystalline Tb3CSe at its relaxed geometry, as listed in Alexandria.

a b c (Å): 6.5108 8.7020 8.7020
angles (deg): 82.36 96.34 96.34
Fractional positions:
Tb  0.3726  0.4942  0.2849
Tb  0.1274  0.7151  0.5058
Tb  0.6274  0.5058  0.7151
Tb  0.1115  0.0235  0.1856
Tb  0.6109  0.8676  0.3404
Tb  0.6115  0.1856  0.0235
Tb  0.8891  0.6596  0.1324
Tb  0.1109  0.3404  0.8676
Tb  0.3885  0.8144  0.9765
Tb  0.3891  0.1324  0.6596
Tb  0.8885  0.9765  0.8144
Tb  0.8726  0.2849  0.4942
C  0.7500  0.9213  0.0787
C  0.2500  0.7491  0.2509
C  0.7500  0.2509  0.7491
C  0.2500  0.0787  0.9213
Se  0.0117  0.6624  0.8265
Se  0.4883  0.1735  0.3376
Se  0.5117  0.8265  0.6624
Se  0.9883  0.3376  0.1735

Calculated values
Size of the total moment in μB per cell: 0.00
Raw total energy in eV/atom: -6.194
Formation energy without anion corrections in eV per atom: -0.874


(5)
First-principles (PBE) data for crystalline LaPm2Sm5Er at its relaxed geometry, as listed in Alexandria.

a b c (Å): 8.8971 8.8971 10.0507
angles (deg): 116.27 116.27 90.00
Fractional positions:
Sm  0.5714  0.6557  0.7272
Sm  0.1557  0.0714  0.7272
Sm  0.0714  0.5714  0.7272
Sm  0.3443  0.8443  0.2728
Sm  0.0000  0.0000  0.0000
Sm  0.9286  0.4286  0.2728
Sm  0.4286  0.3443  0.2728
Sm  0.5000  0.5000  0.0000
Sm  0.8443  0.9286  0.2728
Sm  0.6557  0.1557  0.7272
Pm  0.6166  0.1166  0.0000
Pm  0.1166  0.3834  0.0000
Pm  0.3834  0.8834  0.0000
Pm  0.8834  0.6166  0.0000
Er  0.2500  0.7500  0.5000
Er  0.7500  0.2500  0.5000
La  0.2500  0.2500  0.5000
La  0.7500  0.7500  0.5000

Calculated values
Size of the total moment in μB per cell: 0.01
Raw total energy in eV/atom: -4.463
Energy of formation in meV per atom: 269


(6)
First-principles (PBE) data for crystalline Pr4Sb3I at its relaxed geometry, as listed in Alexandria.

a b c (Å): 6.4373 6.4373 7.9083
angles (deg): 114.02 114.02 90.00
Fractional positions:
Pr  0.2608  0.2608  0.5217
Pr  0.0000  0.5000  0.0000
Pr  0.5000  0.0000  0.0000
Pr  0.7392  0.7392  0.4783
Sb  0.2500  0.7500  0.5000
Sb  0.5000  0.5000  0.0000
Sb  0.7500  0.2500  0.5000
I  0.0000  0.0000  0.0000

Calculated values
Size of the total moment in μB per cell: 0.00
Raw total energy in eV/atom: -5.280
Formation energy without anion corrections in eV per atom: -1.150


(7)
First-principles (PBE) data for crystalline BeSnBTe2 at its relaxed geometry, as listed in Alexandria.

a b c (Å): 4.9514 4.6260 4.9514
angles (deg): 90.00 90.00 90.00
Fractional positions:
Te  0.0000  0.0000  0.5000
Te  0.5000  0.0000  0.0000
Be  0.5000  0.5000  0.5000
B  0.0000  0.0000  0.0000
Sn  0.0000  0.5000  0.0000

Calculated values
Size of the total moment in μB per cell: 0.00
Raw total energy in eV/atom: -3.149
Formation energy without anion corrections in eV per atom: 0.989


(8)
First-principles (PBE) data for crystalline PmTmLuZr at its relaxed geometry, as listed in Alexandria.

a b c (Å): 5.4588 5.4588 5.4588
angles (deg): 60.00 60.00 60.00
Each line ends with the local moment (μB).
Fractional positions:
Pm  0.7500  0.7500  0.7500  -0.01
Zr  0.2500  0.2500  0.2500  0.52
Lu  0.0000  0.0000  0.0000  0.12
Tm  0.5000  0.5000  0.5000  0.16

Calculated values
Size of the total moment in μB per cell: 1.17
Raw total energy in eV/atom: -5.374
Energy of formation in meV per atom: 199


(9)
First-principles (PBE) data for crystalline Pr3Ga9Au2 at its relaxed geometry, as listed in Alexandria.

a b c (Å): 4.3507 8.4859 8.4859
angles (deg): 75.06 75.15 75.15
Fractional positions:
Ga  0.1375  0.1334  0.5916
Ga  0.8625  0.4084  0.8666
Ga  0.3319  0.0431  0.2932
Ga  0.8625  0.8666  0.4084
Ga  0.6681  0.9569  0.7068
Ga  0.1375  0.5916  0.1334
Ga  0.3319  0.2932  0.0431
Ga  0.0000  0.5000  0.5000
Ga  0.6681  0.7068  0.9569
Pr  0.3214  0.6786  0.6786
Pr  0.6786  0.3214  0.3214
Pr  0.0000  0.0000  0.0000
Au  0.5000  0.7231  0.2769
Au  0.5000  0.2769  0.7231

Calculated values
Size of the total moment in μB per cell: 0.00
Raw total energy in eV/atom: -4.010
Energy of formation in meV per atom: -572


(10)
First-principles (PBE) data for crystalline Er2TlNi at its relaxed geometry, as listed in Alexandria.

a b c (Å): 7.2303 7.2577 7.2939
angles (deg): 90.00 90.00 90.00
Fractional positions:
Er  0.8159  0.3213  0.3225
Er  0.3159  0.6787  0.6775
Er  0.3092  0.1787  0.8225
Er  0.8159  0.1787  0.8225
Er  0.3092  0.3213  0.3225
Er  0.3159  0.8213  0.1775
Er  0.8092  0.8213  0.1775
Er  0.8092  0.6787  0.6775
Tl  0.5625  0.5002  0.0019
Tl  0.5625  0.9998  0.5019
Tl  0.0625  0.4998  0.9981
Tl  0.0625  0.0002  0.4981
Ni  0.5626  0.8896  0.8870
Ni  0.5626  0.6104  0.3870
Ni  0.0626  0.3896  0.6130
Ni  0.0626  0.1104  0.1130

Calculated values
Size of the total moment in μB per cell: 0.00
Raw total energy in eV/atom: -4.674
Energy of formation in meV per atom: -356


(11)
First-principles (PBE) data for crystalline OsAuCl2 at its relaxed geometry, as listed in Alexandria.

a b c (Å): 2.9674 2.8469 10.5960
angles (deg): 88.94 90.00 90.00
Fractional positions:
Au  0.5000  0.7500  0.7500
Cl  0.0000  0.2621  0.0792
Cl  0.0000  0.2379  0.4208
Os  0.5000  0.2500  0.2500

Calculated values
Size of the total moment in μB per cell: 0.00
Raw total energy in eV/atom: -4.180
Formation energy without anion corrections in eV per atom: 0.370


(12)
First-principles (PBE) data for crystalline TiCo3H at its relaxed geometry, as listed in Alexandria.

a b c (Å): 4.6559 4.6559 4.6559
angles (deg): 91.31 91.31 91.31
Each line ends with the local moment (μB).
Fractional positions:
Co  0.5149  0.2500  0.9851  1.22
Co  0.9851  0.5149  0.2500  1.66
Co  0.0149  0.4851  0.7500  1.66
Co  0.4851  0.7500  0.0149  1.22
Co  0.7500  0.0149  0.4851  1.03
Co  0.2500  0.9851  0.5149  1.03
H  0.7500  0.7500  0.7500  -0.01
H  0.2500  0.2500  0.2500  -0.01
Ti  0.5000  0.5000  0.5000  -0.30
Ti  0.0000  0.0000  0.0000  -0.28

Calculated values
Size of the total moment in μB per cell: 7.09
Raw total energy in eV/atom: -6.630


Question: Among the records above, which one has the lowest raw total energy?
Answer: NpU2PaC4


Question: Which value of size of the total moment does entry 7 give?
Answer: 0.00 μB per cell